Computed, not measured: a geometry-optimized BaTi8O16 structure at the PBE level of DFT.

The structure in extended XYZ format:
```
50
Lattice="10.211 -2.977 0.000 10.211 2.977 0.000 -10.194 0.000 10.235" Properties=species:S:1:pos:R:3 pbc="T T T"
Ba 2.565 2.232 7.676
Ba 7.662 -2.232 2.559
Ti 4.109 2.238 4.209
Ti 0.910 0.752 4.108
Ti 4.350 0.740 1.063
Ti 11.215 2.238 0.909
Ti -1.042 0.752 9.473
Ti -4.187 -0.752 9.225
Ti -0.748 -0.740 6.181
Ti 6.172 0.752 5.880
Ti 4.055 -0.752 4.356
Ti 10.975 0.740 4.055
Ti 14.414 0.752 1.010
Ti 11.269 -0.752 0.762
Ti -0.988 -2.238 9.327
Ti 5.877 -0.740 9.172
Ti 9.317 -0.752 6.128
Ti 6.118 -2.238 6.026
O 0.826 0.769 2.145
O -5.586 0.720 9.266
O -2.131 0.719 5.961
O 9.228 2.262 0.520
O 6.096 2.262 4.598
O -2.962 0.772 9.338
O 0.534 0.771 6.096
O 4.232 0.717 2.985
O -4.272 -0.769 7.263
O -0.489 -0.720 4.148
O 2.966 -0.719 0.844
O 4.140 0.766 5.609
O 0.990 0.766 9.744
O 2.135 -0.772 4.220
O 5.631 -0.771 0.978
O -0.866 -0.717 8.102
O 11.093 0.717 2.133
O 4.595 0.771 9.257
O 8.092 0.772 6.015
O 9.237 -0.766 0.491
O 6.087 -0.766 4.627
O 7.261 0.719 9.392
O 10.715 0.720 6.087
O 14.499 0.769 2.973
O 5.995 -0.717 7.251
O 9.693 -0.771 4.139
O 13.189 -0.772 0.897
O 4.131 -2.262 5.638
O 0.999 -2.262 9.715
O 12.358 -0.719 4.274
O 15.813 -0.720 0.969
O 9.401 -0.769 8.090
```

Summary:
Electronic total energy in eV/atom: -8.815
Uncorrected formation energy in eV per atom: -3.038